GGA+U Cs3Nd2MnO6, relaxed; total magnetization = 3.916 μB per formula unit; Fermi-level density of states = 0.0 states/eV per cell; DFT total energy = -6.1770 eV per atom
1.0
6.150 0.179 -0.072
-2.918 5.416 -0.072
-1.159 -2.007 6.940
Cs Nd Mn O
3 2 1 6
Cartesian
-1.996 3.546 3.398 Cs
4.069 0.043 3.398 Cs
1.036 1.794 3.398 Cs
0.126 3.658 -0.072 Nd
3.106 1.937 -0.072 Nd
0.000 0.000 0.000 Mn
2.875 1.989 5.824 O
2.040 3.533 1.310 O
-0.803 1.599 0.971 O
0.286 3.485 5.824 O
0.032 0.056 5.486 O
1.787 0.104 0.971 O